A geometry-optimized UVAgO6 structure, computed with PBE+U.

Calculated values
VASP energy: -139.595 eV for the cell shown
space group: P-31c

```
18
Lattice="-3.2960 0.5449 -4.2362 -1.7371 -2.4735 4.4688 -3.1607 8.6796 3.5755" Properties=species:S:1:pos:R:3 pbc="T T T"
U -3.0469 0.7025 2.4610
U -5.1469 6.0484 1.3471
V -3.5665 1.7086 -0.4407
V -4.6273 5.0423 4.2488
Ag 0.0000 0.0000 0.0000
Ag -1.5803 4.3398 1.7877
O -3.6289 0.0771 0.5564
O -4.2996 0.8884 -2.0059
O -4.9214 3.3722 5.1344
O -3.8942 5.8626 5.8140
O -3.0219 2.4064 1.2554
O -5.4103 2.1008 -0.1141
O -6.4277 5.3505 4.8176
O -3.2724 3.3787 -1.3263
O -2.7835 4.6501 3.9222
O -1.7661 1.4005 -1.0095
O -5.1719 4.3445 2.5527
O -4.5649 6.6739 3.2517
```